Record 1
14
Lattice="6.2607 0.2761 0.2178 0.2596 5.8099 -2.6322 0.2155 -0.2942 6.3732" Properties=species:S:1:pos:R:3 comment="Na3WN3 PBE relaxed" final_energy_ev_per_cell=-88.86 raw_formation_energy_ev_per_fu=-2.5 pbc="T T T"
N 1.9983 3.0622 3.9144
N 1.0804 0.6661 0.4568
N 5.6554 5.1257 3.5020
N 4.7375 2.7297 0.0444
N 2.0106 4.7610 1.4080
N 4.7252 1.0308 2.5508
Na 3.3807 4.6622 -0.6265
Na 2.4478 2.1690 1.4822
Na 0.2479 4.1860 -0.2365
Na 3.3551 1.1296 4.5853
Na 4.2880 3.6228 2.4766
Na 0.2272 1.3297 3.9774
W 1.3356 4.5833 3.1132
W 5.4003 1.2085 0.8456


Record 2
5
Lattice="6.6311 0.0000 0.0000 0.0000 6.0677 0.0000 0.0000 0.0000 6.6311" Properties=species:S:1:pos:R:3 comment="K2AlCdBr PBE relaxed" final_energy_ev_per_cell=-7.46 dos_at_fermi_per_ev_cell=4.88 raw_formation_energy_ev_per_fu=1.1 pbc="T T T"
Br 0.0000 3.0339 0.0000
K 3.3156 0.0000 0.0000
K 0.0000 0.0000 3.3156
Cd 0.0000 0.0000 0.0000
Al 3.3156 3.0339 3.3156


Record 3
18
Lattice="11.6515 0.0000 0.0000 0.0000 11.3103 0.0000 -5.8257 -5.6552 8.2238" Properties=species:S:1:pos:R:3 comment="CsUSnI6 PBE relaxed" final_energy_ev_per_cell=-65.51 dos_at_fermi_per_ev_cell=3.72 raw_formation_energy_ev_per_fu=-7.3 pbc="T T T"
I 8.2234 -0.5091 2.0917
I 3.4281 6.1643 2.0917
I 0.0000 2.8276 6.8527
I 0.0000 8.4827 2.9377
I 5.8257 2.8276 1.3711
I 8.2234 6.1643 2.0917
I 5.8257 -2.8276 5.2861
I -2.3976 -0.5091 6.1321
I -2.3976 6.1643 6.1321
I 2.3976 -0.5091 6.1321
I 2.3976 6.1643 6.1321
I 3.4281 -0.5091 2.0917
Sn 5.8257 0.0000 0.0000
Sn 5.8257 5.6552 0.0000
U 2.9129 -2.8276 4.1119
U -2.9129 -2.8276 4.1119
Cs 0.0000 2.8276 3.0555
Cs 5.8257 2.8276 5.1683


Record 4
5
Lattice="-1.6995 1.3517 3.3223 2.8036 -1.7925 2.1634 2.2044 3.2252 -0.1845" Properties=species:S:1:pos:R:3 comment="NaRhN2O PBE relaxed" final_energy_ev_per_cell=-17.86 dos_at_fermi_per_ev_cell=7.89 raw_formation_energy_ev_per_fu=12.4 pbc="T T T"
Rh 1.6542 1.3922 2.6506
O 1.1022 1.6126 -0.0923
N -0.8498 0.6758 1.6612
N 1.4018 -0.8962 1.0817
Na 0.0000 0.0000 0.0000


Record 5
5
Lattice="2.7848 -0.0134 0.0046 0.0363 5.1627 0.0006 1.3875 0.1455 5.0349" Properties=species:S:1:pos:R:3 comment="FePOs2Au PBE relaxed" formation_enthalpy_0k_ev_per_atom=0.17 final_energy_ev_per_cell=-38.76 dos_at_fermi_per_ev_cell=3.44 pbc="T T T"
Os 2.5353 0.0904 0.4262
Os 2.5323 0.4054 3.1451
Au 2.5652 2.9921 4.2990
P 1.1485 1.6300 1.6091
Fe 1.1684 3.8124 2.0077


Record 6
5
Lattice="-1.7908 -5.1350 -4.1771 6.5941 -1.0052 -1.5913 0.5793 -4.4323 5.2003" Properties=species:S:1:pos:R:3 comment="BaHI3 PBE relaxed" final_energy_ev_per_cell=-11.78 dos_at_fermi_per_ev_cell=8.68 pbc="T T T"
I -0.8954 -2.5675 -2.0886
I 0.2896 -2.2161 2.6002
I 3.2970 -0.5026 -0.7956
H 2.6912 -5.2863 -0.2840
Ba 0.0000 0.0000 0.0000


Repeat the third record exactly.
18
Lattice="11.6515 0.0000 0.0000 0.0000 11.3103 0.0000 -5.8257 -5.6552 8.2238" Properties=species:S:1:pos:R:3 comment="CsUSnI6 PBE relaxed" final_energy_ev_per_cell=-65.51 dos_at_fermi_per_ev_cell=3.72 raw_formation_energy_ev_per_fu=-7.3 pbc="T T T"
I 8.2234 -0.5091 2.0917
I 3.4281 6.1643 2.0917
I 0.0000 2.8276 6.8527
I 0.0000 8.4827 2.9377
I 5.8257 2.8276 1.3711
I 8.2234 6.1643 2.0917
I 5.8257 -2.8276 5.2861
I -2.3976 -0.5091 6.1321
I -2.3976 6.1643 6.1321
I 2.3976 -0.5091 6.1321
I 2.3976 6.1643 6.1321
I 3.4281 -0.5091 2.0917
Sn 5.8257 0.0000 0.0000
Sn 5.8257 5.6552 0.0000
U 2.9129 -2.8276 4.1119
U -2.9129 -2.8276 4.1119
Cs 0.0000 2.8276 3.0555
Cs 5.8257 2.8276 5.1683